[1]
The following is a DFT calculation (PBE) of a relaxed NdSc5In4 crystal.

The structure in POSCAR format:
```
NdSc5In4
1.0
3.359 0.000 0.000
0.000 3.359 0.000
0.000 0.000 21.167
Nd Sc In
1 5 4
direct
0.000 0.000 0.000
0.500 0.500 0.119
0.500 0.500 0.308
0.500 0.500 0.500
0.500 0.500 0.692
0.500 0.500 0.881
0.000 0.000 0.212
0.000 0.000 0.404
0.000 0.000 0.596
0.000 0.000 0.788
```

Results
**Formation energy from the elements**: -0.341 eV per atom

***

[2]
The following is a DFT calculation (PBE) of a relaxed NdScIn crystal.

The structure in POSCAR format:
```
NdScIn
1.0
-1.750 1.750 6.699
1.750 -1.750 6.699
1.750 1.750 -6.699
Nd Sc In
1 1 1
direct
0.000 0.000 0.000
0.686 0.686 0.000
0.326 0.326 0.000
```

Results
**Formation energy from the elements**: -0.272 eV per atom
**ΔE to the lowest computed polymorph**: 0.226 eV/f.u.

***

[3]
The following is a DFT calculation (PBE) of a relaxed NdScIn crystal.

The structure in POSCAR format:
```
NdScIn
1.0
-1.699 1.699 14.432
1.699 -1.699 14.432
1.699 1.699 -14.432
Nd Sc In
2 2 2
direct
0.063 0.063 0.000
0.937 0.937 0.000
0.212 0.212 0.000
0.788 0.788 0.000
0.358 0.358 0.000
0.642 0.642 0.000
```

Results
**Formation energy from the elements**: -0.213 eV per atom
**ΔE to the lowest computed polymorph**: 0.404 eV/f.u.

***

[4]
The following is a DFT calculation (PBE) of a relaxed Nd3ScIn2 crystal.

The structure in POSCAR format:
```
Nd3ScIn2
1.0
-3.332 8.319 3.310
3.332 -8.319 3.310
3.332 8.319 -3.310
Nd Sc In
6 2 4
direct
0.176 0.249 0.425
0.250 0.250 0.000
0.324 0.749 0.073
0.676 0.251 0.927
0.750 0.750 0.000
0.824 0.751 0.575
0.250 0.750 0.500
0.750 0.250 0.500
0.130 0.732 0.863
0.370 0.232 0.602
0.630 0.768 0.398
0.870 0.268 0.137
```

Results
**Formation energy from the elements**: -0.288 eV per atom
**ΔE to the lowest computed polymorph**: 0.191 eV/f.u.

***

[5]
The following is a DFT calculation (PBE) of a relaxed Nd2ScIn3 crystal.

The structure in POSCAR format:
```
Nd2ScIn3
1.0
3.725 0.000 0.000
0.000 3.725 0.000
0.000 0.000 11.605
Nd Sc In
2 1 3
direct
0.000 0.000 0.178
0.000 0.000 0.822
0.000 0.000 0.500
0.500 0.500 0.000
0.500 0.500 0.358
0.500 0.500 0.642
```

Results
**Formation energy from the elements**: -0.469 eV per atom
**ΔE to the lowest computed polymorph**: 0.000 eV/f.u.

***

[6]
The following is a DFT calculation (PBE) of a relaxed NdSc6In crystal.

The structure in POSCAR format:
```
NdSc6In
1.0
3.738 -5.336 0.000
3.738 5.336 0.000
-3.600 0.000 5.225
Nd Sc In
1 6 1
direct
0.000 0.000 0.000
0.000 0.476 0.751
0.000 0.524 0.249
0.476 0.000 0.751
0.476 0.476 0.725
0.524 0.000 0.249
0.524 0.524 0.275
0.000 0.000 0.500
```

Results
**Formation energy from the elements**: 0.050 eV per atom

***

[7]
The following is a DFT calculation (PBE) of a relaxed Nd6ScIn3 crystal.

The structure in POSCAR format:
```
Nd6ScIn3
1.0
9.540 0.000 0.000
0.000 5.524 0.000
-4.256 0.000 11.485
Nd Sc In
12 2 6
direct
0.034 0.250 0.414
0.152 0.750 0.174
0.243 0.250 0.010
0.349 0.750 0.792
0.362 0.250 0.345
0.406 0.250 0.623
0.594 0.750 0.377
0.638 0.750 0.655
0.651 0.250 0.208
0.757 0.750 0.990
0.848 0.250 0.826
0.966 0.750 0.586
0.461 0.750 0.075
0.539 0.250 0.925
0.050 0.750 0.879
0.135 0.250 0.723
0.268 0.750 0.469
0.732 0.250 0.531
0.865 0.750 0.277
0.950 0.250 0.121
```

Results
**Formation energy from the elements**: -0.258 eV per atom

***

[8]
The following is a DFT calculation (PBE) of a relaxed Nd2ScIn2 crystal.

The structure in POSCAR format:
```
Nd2ScIn2
1.0
-2.410 3.339 4.576
2.410 -3.339 4.576
2.410 3.339 -4.576
Nd Sc In
2 1 2
direct
0.196 0.196 0.000
0.804 0.804 0.000
0.500 0.000 0.500
0.225 0.500 0.725
0.775 0.500 0.275
```

Results
**Formation energy from the elements**: -0.354 eV per atom